*A*
{"formula": "AlNi2H", "functional": "PBE", "state": "relaxed", "lattice": [[2.569, 0.000, 0.000], [0.000, 2.569, 0.000], [0.000, 0.000, 5.845]], "species": ["Al", "Ni", "Ni", "H"], "frac_coords": [[0.000, 0.000, 0.000], [0.500, 0.500, 0.294], [0.500, 0.500, 0.706], [0.000, 0.000, 0.500]], "crystal_system": "tetragonal", "sg": "P4/mmm, No. 123", "dos_ef_per_ev_atom": 0.412}



*B*
{"formula": "AlNi2H", "functional": "PBE", "state": "relaxed", "lattice": [[-2.755, 2.755, 2.552], [2.755, -2.755, 2.552], [2.755, 2.755, -2.552]], "species": ["Al", "Al", "Ni", "Ni", "Ni", "Ni", "H", "H"], "frac_coords": [[0.000, 0.000, 0.000], [0.750, 0.250, 0.500], [0.231, 0.625, 0.106], [0.375, 0.481, 0.606], [0.519, 0.125, 0.894], [0.875, 0.769, 0.394], [0.250, 0.750, 0.500], [0.500, 0.500, 0.000]], "crystal_system": "tetragonal", "sg": "I-42d, No. 122", "dos_ef_per_ev_atom": 0.121}



*B* is the most stable structure; the next one sits 206 meV/atom above it.



*A*
{"formula": "AlNi2HRh", "functional": "PBE", "state": "relaxed", "lattice": [[3.571, 0.000, 0.000], [0.000, 3.571, 0.000], [0.000, 0.000, 4.036]], "species": ["Al", "Ni", "Ni", "H", "Rh"], "frac_coords": [[0.000, 0.000, 0.000], [0.000, 0.500, 0.500], [0.500, 0.000, 0.500], [0.000, 0.000, 0.500], [0.500, 0.500, 0.000]], "crystal_system": "tetragonal", "sg": "P4/mmm, No. 123", "dos_ef_per_ev_atom": 0.893}



*B*
{"formula": "AlNi2HRh", "functional": "PBE", "state": "relaxed", "lattice": [[3.646, 0.000, 0.000], [0.000, 3.646, 0.000], [0.000, 0.000, 3.880]], "species": ["Al", "Ni", "Ni", "H", "Rh"], "frac_coords": [[0.000, 0.000, 0.000], [0.000, 0.500, 0.500], [0.500, 0.000, 0.500], [0.500, 0.500, 0.500], [0.500, 0.500, 0.000]], "crystal_system": "tetragonal", "sg": "P4/mmm, No. 123", "dos_ef_per_ev_atom": 0.833}



*B* is the most stable structure; the next one sits 120 meV/atom above it.



*A*
{"formula": "AlNi2HRu", "functional": "PBE", "state": "relaxed", "lattice": [[3.644, 0.000, 0.000], [0.000, 3.644, 0.000], [0.000, 0.000, 3.879]], "species": ["Al", "Ni", "Ni", "H", "Ru"], "frac_coords": [[0.000, 0.000, 0.000], [0.000, 0.500, 0.500], [0.500, 0.000, 0.500], [0.500, 0.500, 0.500], [0.500, 0.500, 0.000]], "crystal_system": "tetragonal", "sg": "P4/mmm, No. 123", "dos_ef_per_ev_atom": 0.934}



*B*
{"formula": "AlNi2HRu", "functional": "PBE", "state": "relaxed", "lattice": [[3.569, 0.000, 0.000], [0.000, 3.569, 0.000], [0.000, 0.000, 4.035]], "species": ["Al", "Ni", "Ni", "H", "Ru"], "frac_coords": [[0.000, 0.000, 0.000], [0.000, 0.500, 0.500], [0.500, 0.000, 0.500], [0.000, 0.000, 0.500], [0.500, 0.500, 0.000]], "crystal_system": "tetragonal", "sg": "P4/mmm, No. 123", "dos_ef_per_ev_atom": 1.002}



*A* is the most stable structure; the next one sits 139 meV/atom above it.



*A*
{"formula": "Ti2AlNiH", "functional": "PBE", "state": "relaxed", "lattice": [[3.999, 0.000, 0.000], [0.000, 3.999, 0.000], [0.000, 0.000, 3.791]], "species": ["Ti", "Ti", "Al", "Ni", "H"], "frac_coords": [[0.000, 0.500, 0.000], [0.500, 0.000, 0.000], [0.000, 0.000, 0.500], [0.500, 0.500, 0.500], [0.500, 0.500, 0.000]], "crystal_system": "tetragonal", "sg": "P4/mmm, No. 123", "dos_ef_per_ev_atom": 1.157}



*B*
{"formula": "Ti2AlNiH", "functional": "PBE", "state": "relaxed", "lattice": [[3.819, 0.000, 0.000], [0.000, 3.819, 0.000], [0.000, 0.000, 4.168]], "species": ["Ti", "Ti", "Al", "Ni", "H"], "frac_coords": [[0.000, 0.500, 0.000], [0.500, 0.000, 0.000], [0.000, 0.000, 0.500], [0.500, 0.500, 0.500], [0.000, 0.000, 0.000]], "crystal_system": "tetragonal", "sg": "P4/mmm, No. 123", "dos_ef_per_ev_atom": 0.884}



*A* is the most stable structure; the next one sits 111 meV/atom above it.